A plane-wave DFT calculation with PBE was carried out for crystalline Ca2SeCl at its relaxed geometry.

## Properties
**ΔE_f (raw)**: -1707 meV/atom
**Energy above the most stable polymorph in this dataset**: 53 meV/atom

Lattice parameters (Å, degrees): 4.078 4.078 28.576 90.00 90.00 120.00
Atoms (fractional coordinates):
Ca1 0.000 0.000 0.000
Ca2 0.000 0.000 0.129
Ca3 0.333 0.667 0.667
Ca4 0.333 0.667 0.796
Ca5 0.667 0.333 0.333
Ca6 0.667 0.333 0.463
Se1 0.000 0.000 0.397
Se2 0.333 0.667 0.064
Se3 0.667 0.333 0.731
Cl1 0.000 0.000 0.617
Cl2 0.333 0.667 0.283
Cl3 0.667 0.333 0.950

=====

A plane-wave DFT calculation with PBE was carried out for crystalline CePrTmCd at its relaxed geometry.

## Properties
**E_form**: 14 meV per atom

Lattice parameters (Å, degrees): 7.800 7.800 7.800 90.00 90.00 90.00
Atoms (fractional coordinates):
Ce1 0.000 0.000 0.000
Ce2 0.000 0.500 0.500
Ce3 0.500 0.000 0.500
Ce4 0.500 0.500 0.000
Pr1 0.000 0.000 0.500
Pr2 0.000 0.500 0.000
Pr3 0.500 0.000 0.000
Pr4 0.500 0.500 0.500
Tm1 0.250 0.250 0.750
Tm2 0.250 0.750 0.250
Tm3 0.750 0.250 0.250
Tm4 0.750 0.750 0.750
Cd1 0.250 0.250 0.250
Cd2 0.250 0.750 0.750
Cd3 0.750 0.250 0.750
Cd4 0.750 0.750 0.250

=====

A plane-wave DFT calculation with PBE was carried out for crystalline Ca3HgSb2 at its relaxed geometry.

## Properties
**ΔE_f (raw)**: -805 meV/atom
**Energy above the most stable polymorph in this dataset**: 0 meV/atom

Lattice parameters (Å, degrees): 12.459 4.702 12.734 90.00 90.00 90.00
Atoms (fractional coordinates):
Ca1 0.051 0.250 0.113
Ca2 0.131 0.750 0.559
Ca3 0.190 0.250 0.813
Ca4 0.310 0.750 0.313
Ca5 0.369 0.250 0.059
Ca6 0.449 0.750 0.613
Ca7 0.551 0.250 0.387
Ca8 0.631 0.750 0.941
Ca9 0.690 0.250 0.687
Ca10 0.810 0.750 0.187
Ca11 0.869 0.250 0.441
Ca12 0.949 0.750 0.887
Hg1 0.171 0.250 0.307
Hg2 0.329 0.750 0.807
Hg3 0.671 0.250 0.193
Hg4 0.829 0.750 0.693
Sb1 0.014 0.750 0.328
Sb2 0.183 0.750 0.002
Sb3 0.317 0.250 0.502
Sb4 0.486 0.250 0.828
Sb5 0.514 0.750 0.172
Sb6 0.683 0.750 0.498
Sb7 0.817 0.250 0.998
Sb8 0.986 0.250 0.672